Below is a geometry-optimized Dy3ZnIn2 structure, with properties calculated at the PBE level.

a b c (Å): 3.6338 3.6338 11.4724
angles (deg): 90.00 90.00 90.00
With the nearest neighbours (Å) after each atom.
Sites, in units of the cell vectors:
Dy  0.0000  0.0000  0.6491  4 Zn 3.09, 4 In 3.26, 1 Dy 3.42
Dy  0.0000  0.0000  0.0000  8 In 3.27, 4 Dy 3.63
Dy  0.0000  0.0000  0.3509  4 Zn 3.09, 4 In 3.26, 1 Dy 3.42
In  0.5000  0.5000  0.1767  8 Dy 3.26-3.27, 4 In 3.63
In  0.5000  0.5000  0.8233  8 Dy 3.26-3.27, 4 In 3.63
Zn  0.5000  0.5000  0.5000  8 Dy 3.09

Properties
theoretical density	8578	kg/m3
energy of formation	-2.63	eV/f.u.
calculated volume	151.5	Å³ per cell
density of states at the Fermi level	0.641	states/eV per atom

Below is a geometry-optimized Dy8ZnIn2 structure, with properties calculated at the PBE level.

a b c (Å): 5.1915 6.7732 9.5755
angles (deg): 103.18 105.73 90.00
With the nearest neighbours (Å) after each atom.
Sites, in units of the cell vectors:
Dy  0.7965  0.7079  0.5930  3 In 3.12-3.33, 2 Dy 3.39
Dy  0.4073  0.5421  0.8146  1 Zn 3.17, 3 Dy 3.37-3.42, 2 In 3.43
Dy  0.2035  0.2921  0.4070  3 In 3.12-3.33, 2 Dy 3.39
Dy  0.3473  0.0326  0.6946  1 Zn 2.87, 3 In 3.16
Dy  0.5927  0.4579  0.1854  1 Zn 3.17, 3 Dy 3.37-3.42, 2 In 3.43
Dy  0.9836  0.2294  0.9673  2 Zn 3.08, 1 In 3.19, 3 Dy 3.30-3.42
Dy  0.6527  0.9674  0.3054  1 Zn 2.87, 3 In 3.16
Dy  0.0164  0.7706  0.0327  2 Zn 3.08, 1 In 3.19, 3 Dy 3.30-3.42
In  0.1862  0.7388  0.3725  9 Dy 3.12-3.43
In  0.8138  0.2612  0.6275  9 Dy 3.12-3.43
Zn  0.5000  0.0000  0.0000  8 Dy 2.87-3.17

Properties
theoretical density	8412	kg/m3
energy of formation	-2.20	eV/f.u.
calculated volume	314.9	Å³ per cell
density of states at the Fermi level	1.008	states/eV per atom

Below is a geometry-optimized Dy6Zn2In structure, with properties calculated at the PBE level.

a b c (Å): 8.6058 8.6058 8.6058
angles (deg): 107.15 111.12 110.17
With the nearest neighbours (Å) after each atom.
Sites, in units of the cell vectors:
In  0.0000  0.5000  0.5000  8 Dy 3.33-3.38
In  0.0000  0.0000  0.0000  8 Dy 3.18-3.24, 2 Zn 3.55
Dy  0.7931  0.2405  0.0336  2 Zn 2.90-3.17, 1 In 3.18
Dy  0.9102  0.7261  0.1840  3 Zn 3.13-3.22, 1 In 3.24
Dy  0.2069  0.7595  0.9664  2 Zn 2.90-3.17, 1 In 3.18
Dy  0.7143  0.0305  0.3162  3 Zn 2.88-3.12
Dy  0.2857  0.9695  0.6838  3 Zn 2.88-3.12
Dy  0.0898  0.2739  0.8160  3 Zn 3.13-3.22, 1 In 3.24
Dy  0.7143  0.3980  0.6838  3 Zn 2.88-3.12
Dy  0.4579  0.2739  0.1840  3 Zn 3.13-3.22, 1 In 3.24
Dy  0.5421  0.7261  0.8160  3 Zn 3.13-3.22, 1 In 3.24
Dy  0.2069  0.2405  0.4475  2 Zn 2.90-3.17, 1 In 3.18
Dy  0.2857  0.6020  0.3162  3 Zn 2.88-3.12
Dy  0.7931  0.7595  0.5525  2 Zn 2.90-3.17, 1 In 3.18
Zn  0.5000  0.3756  0.8756  1 Zn 2.54
Zn  0.3644  0.0000  0.3644  1 Zn 2.64, 2 Dy 2.90
Zn  0.5000  0.6244  0.1244  1 Zn 2.54
Zn  0.6356  0.0000  0.6356  1 Zn 2.64, 2 Dy 2.90

Properties
theoretical density	8273	kg/m3
energy of formation	-2.26	eV/f.u.
excess energy over the best structure of this formula in the dataset	0.000	eV per atom
calculated volume	490.0	Å³ per cell
density of states at the Fermi level	0.976	states/eV per atom

Please write out number 1 again, unchanged.
Below is a geometry-optimized Dy3ZnIn2 structure, with properties calculated at the PBE level.

a b c (Å): 3.6338 3.6338 11.4724
angles (deg): 90.00 90.00 90.00
With the nearest neighbours (Å) after each atom.
Sites, in units of the cell vectors:
Dy  0.0000  0.0000  0.6491  4 Zn 3.09, 4 In 3.26, 1 Dy 3.42
Dy  0.0000  0.0000  0.0000  8 In 3.27, 4 Dy 3.63
Dy  0.0000  0.0000  0.3509  4 Zn 3.09, 4 In 3.26, 1 Dy 3.42
In  0.5000  0.5000  0.1767  8 Dy 3.26-3.27, 4 In 3.63
In  0.5000  0.5000  0.8233  8 Dy 3.26-3.27, 4 In 3.63
Zn  0.5000  0.5000  0.5000  8 Dy 3.09

Properties
theoretical density	8578	kg/m3
energy of formation	-2.63	eV/f.u.
calculated volume	151.5	Å³ per cell
density of states at the Fermi level	0.641	states/eV per atom

- Which of these has the lowest density of states at the Fermi level?
  Dy3ZnIn2

- energy of formation of number 1 (Dy3ZnIn2)?
  -2.63 eV/f.u.